Entry A
# PBE NaSnIO2, relaxed
data_NaSnIO2
_chemical_formula_sum 'Na1 Sn1 I1 O2'
_space_group_name_H-M_alt 'P 4/m m m'
_space_group_IT_number 123
_space_group_name_Hall '-P 4 2'
_cell_length_a 4.109
_cell_length_b 4.109
_cell_length_c 6.289
_cell_angle_alpha 90.00
_cell_angle_beta 90.00
_cell_angle_gamma 90.00
loop_
_atom_site_label
_atom_site_type_symbol
_atom_site_fract_x
_atom_site_fract_y
_atom_site_fract_z
Na1 Na 0.000 0.000 0.000
Sn1 Sn 0.500 0.500 0.500
I1 I 0.500 0.500 0.000
O1 O 0.000 0.500 0.500
# DOS at the Fermi energy: 0.18 states/eV/atom

=====

Entry B
# PBE NaSnIO2, relaxed
data_NaSnIO2
_chemical_formula_sum 'Na1 Sn1 I1 O2'
_space_group_name_H-M_alt 'P 4/m m m'
_space_group_IT_number 123
_space_group_name_Hall '-P 4 2'
_cell_length_a 4.504
_cell_length_b 4.504
_cell_length_c 5.695
_cell_angle_alpha 90.00
_cell_angle_beta 90.00
_cell_angle_gamma 90.00
loop_
_atom_site_label
_atom_site_type_symbol
_atom_site_fract_x
_atom_site_fract_y
_atom_site_fract_z
Na1 Na 0.000 0.000 0.000
Sn1 Sn 0.500 0.500 0.500
I1 I 0.000 0.000 0.500
O1 O 0.000 0.500 0.000
# DOS at the Fermi energy: 1.15 states/eV/atom

=====

Q: Which of them is the least stable? A: entry B.

=====

Entry A
# PBE NaSr2IO6, relaxed
data_NaSr2IO6
_chemical_formula_sum 'Na2 Sr4 I2 O12'
_space_group_name_H-M_alt 'P 1 21/c 1'
_space_group_IT_number 14
_cell_length_a 5.813
_cell_length_b 5.948
_cell_length_c 10.070
_cell_angle_alpha 90.00
_cell_angle_beta 125.14
_cell_angle_gamma 90.00
loop_
_space_group_symop_operation_xyz
'x,y,z'
'-x,-y,-z'
'-x,y+1/2,-z+1/2'
'x,-y+1/2,z+1/2'
loop_
_atom_site_label
_atom_site_type_symbol
_atom_site_fract_x
_atom_site_fract_y
_atom_site_fract_z
Na1 Na 0.000 0.000 0.000
Sr1 Sr 0.238 0.045 0.748
I1 I 0.500 0.000 0.500
O1 O 0.199 0.183 0.463
O2 O 0.273 0.739 0.451
O3 O 0.358 0.030 0.277
# DOS at the Fermi energy: 0.00 states/eV/atom

=====

Entry B
# PBE NaSr2IO6, relaxed
data_NaSr2IO6
_chemical_formula_sum 'Na3 Sr6 I3 O18'
_space_group_name_H-M_alt 'R -3'
_space_group_IT_number 148
_space_group_name_Hall '-R 3'
_cell_length_a 5.9076
_cell_length_b 5.9076
_cell_length_c 13.9859
_cell_angle_alpha 90.00
_cell_angle_beta 90.00
_cell_angle_gamma 120.00
loop_
_atom_site_label
_atom_site_type_symbol
_atom_site_fract_x
_atom_site_fract_y
_atom_site_fract_z
Na1 Na 0.0000 0.0000 0.0000
Sr1 Sr 0.0000 0.0000 0.2533
I1 I 0.0000 0.0000 0.5000
O1 O 0.0404 0.5908 0.2452
# DOS at the Fermi energy: 0.00 states/eV/atom

=====

Q: Which of them is the least stable? A: entry B.

=====

Entry A
# PBE NaSrI2O, relaxed
data_NaSrI2O
_chemical_formula_sum 'Na1 Sr1 I2 O1'
_space_group_name_H-M_alt 'P 4/m m m'
_space_group_IT_number 123
_space_group_name_Hall '-P 4 2'
_cell_length_a 6.519
_cell_length_b 6.519
_cell_length_c 4.588
_cell_angle_alpha 90.00
_cell_angle_beta 90.00
_cell_angle_gamma 90.00
loop_
_atom_site_label
_atom_site_type_symbol
_atom_site_fract_x
_atom_site_fract_y
_atom_site_fract_z
Na1 Na 0.000 0.000 0.000
Sr1 Sr 0.500 0.500 0.500
I1 I 0.000 0.500 0.500
O1 O 0.500 0.500 0.000
# DOS at the Fermi energy: 1.03 states/eV/atom

=====

Entry B
# PBE NaSrI2O, relaxed
data_NaSrI2O
_chemical_formula_sum 'Na1 Sr1 I2 O1'
_space_group_name_H-M_alt 'P 4/m m m'
_space_group_IT_number 123
_space_group_name_Hall '-P 4 2'
_cell_length_a 5.859
_cell_length_b 5.859
_cell_length_c 4.450
_cell_angle_alpha 90.00
_cell_angle_beta 90.00
_cell_angle_gamma 90.00
loop_
_atom_site_label
_atom_site_type_symbol
_atom_site_fract_x
_atom_site_fract_y
_atom_site_fract_z
Na1 Na 0.000 0.000 0.000
Sr1 Sr 0.500 0.500 0.500
I1 I 0.000 0.500 0.000
O1 O 0.000 0.000 0.500
# DOS at the Fermi energy: 0.83 states/eV/atom

=====

Q: Which of them is the least stable? A: entry B.

=====

Entry A
# PBE NaTeI2O, relaxed
data_NaTeI2O
_chemical_formula_sum 'Na1 Te1 I2 O1'
_space_group_name_H-M_alt 'P 4/m m m'
_space_group_IT_number 123
_space_group_name_Hall '-P 4 2'
_cell_length_a 5.763
_cell_length_b 5.763
_cell_length_c 5.743
_cell_angle_alpha 90.00
_cell_angle_beta 90.00
_cell_angle_gamma 90.00
loop_
_atom_site_label
_atom_site_type_symbol
_atom_site_fract_x
_atom_site_fract_y
_atom_site_fract_z
Na1 Na 0.000 0.000 0.000
Te1 Te 0.000 0.000 0.500
I1 I 0.000 0.500 0.000
O1 O 0.500 0.500 0.500
# DOS at the Fermi energy: 2.49 states/eV/atom

=====

Entry B
# PBE NaTeI2O, relaxed
data_NaTeI2O
_chemical_formula_sum 'Na1 Te1 I2 O1'
_space_group_name_H-M_alt 'P 4/m m m'
_space_group_IT_number 123
_space_group_name_Hall '-P 4 2'
_cell_length_a 5.803
_cell_length_b 5.803
_cell_length_c 4.165
_cell_angle_alpha 90.00
_cell_angle_beta 90.00
_cell_angle_gamma 90.00
loop_
_atom_site_label
_atom_site_type_symbol
_atom_site_fract_x
_atom_site_fract_y
_atom_site_fract_z
Na1 Na 0.000 0.000 0.000
Te1 Te 0.500 0.500 0.500
I1 I 0.000 0.500 0.000
O1 O 0.000 0.000 0.500
# DOS at the Fermi energy: 2.18 states/eV/atom

=====

Entry C
# PBE NaTeI2O, relaxed
data_NaTeI2O
_chemical_formula_sum 'Na1 Te1 I2 O1'
_space_group_name_H-M_alt 'P 4/m m m'
_space_group_IT_number 123
_space_group_name_Hall '-P 4 2'
_cell_length_a 6.284
_cell_length_b 6.284
_cell_length_c 4.124
_cell_angle_alpha 90.00
_cell_angle_beta 90.00
_cell_angle_gamma 90.00
loop_
_atom_site_label
_atom_site_type_symbol
_atom_site_fract_x
_atom_site_fract_y
_atom_site_fract_z
Na1 Na 0.000 0.000 0.000
Te1 Te 0.500 0.500 0.500
I1 I 0.000 0.500 0.500
O1 O 0.500 0.500 0.000
# DOS at the Fermi energy: 0.11 states/eV/atom

=====

Entry D
# PBE NaTeI2O, relaxed
data_NaTeI2O
_chemical_formula_sum 'Na1 Te1 I2 O1'
_space_group_name_H-M_alt 'P 4/m m m'
_space_group_IT_number 123
_space_group_name_Hall '-P 4 2'
_cell_length_a 5.387
_cell_length_b 5.387
_cell_length_c 4.621
_cell_angle_alpha 90.00
_cell_angle_beta 90.00
_cell_angle_gamma 90.00
loop_
_atom_site_label
_atom_site_type_symbol
_atom_site_fract_x
_atom_site_fract_y
_atom_site_fract_z
Na1 Na 0.000 0.000 0.000
Te1 Te 0.500 0.500 0.000
I1 I 0.000 0.500 0.500
O1 O 0.500 0.500 0.500
# DOS at the Fermi energy: 0.36 states/eV/atom

=====

Q: Which of them is the least stable? A: entry A.